Here is CeSiPtRh after structural relaxation from Alexandria via LeMat-Bulk. Energies are from PBE.

Computed properties:
The uncorrected formation energy is -1.06 eV per atom. The raw total energy is -7.24 eV per atom.

Cell lengths 3.9979, 3.9979, 9.5071 Å; angles 90.00, 90.00, 90.00 degrees
Space group P4/nmm (No. 129, origin choice 2)
Asymmetric unit:
1 Ce 0.2500 0.2500 0.2178
2 Si 0.2500 0.2500 0.6366
3 Pt 0.2500 0.2500 0.8936
4 Rh 0.2500 0.7500 0.5000



Here is Sc9Ni5Ge8 after structural relaxation from Alexandria via LeMat-Bulk. Energies are from PBE.

Computed properties:
The raw total energy is -6.36 eV per atom. The energy of formation is -0.7734 eV/atom.

Cell lengths 3.9468, 9.0697, 21.1212 Å; angles 90.00, 90.00, 90.00 degrees
Space group Immm (No. 71)
Asymmetric unit:
1 Sc 0.0000 0.0000 0.0000
2 Sc 0.0000 0.3006 0.4147
3 Sc 0.0000 0.5000 0.1111
4 Sc 0.0000 0.5000 0.2744
5 Ni 0.0000 0.0000 0.5000
6 Ni 0.0000 0.2251 0.1952
7 Ge 0.0000 0.0000 0.1321
8 Ge 0.0000 0.1395 0.3060
9 Ge 0.0000 0.3202 0.0000



Here is CaTcHg2 after structural relaxation from Alexandria via LeMat-Bulk. Energies are from PBE.

Computed properties:
The excess energy over the best structure of this formula in the dataset comes out at 48.9 meV per atom. The raw total energy is -2.96 eV per atom. The energy of formation is 0.2799 eV/atom.

Cell lengths 4.6041, 4.6041, 8.0797 Å; angles 90.00, 90.00, 90.00 degrees
Space group I4/mmm (No. 139)
Asymmetric unit:
1 Ca 0.0000 0.0000 0.0000
2 Tc 0.0000 0.0000 0.5000
3 Hg 0.0000 0.5000 0.2500



Here is PmY2Fe9 after structural relaxation from Alexandria via LeMat-Bulk. Energies are from PBE.

Computed properties:
The raw total energy is -7.85 eV per atom. The energy of formation is -0.0338 eV/atom.

Cell lengths 5.1385, 5.1385, 24.2889 Å; angles 90.00, 90.00, 120.00 degrees
Space group R-3m (No. 166, hexagonal axes)
Asymmetric unit:
1 Pm 0.0000 0.0000 0.0000
2 Y 0.0000 0.0000 0.1422
3 Fe 0.0000 0.0000 0.3326
4 Fe 0.0000 0.0000 0.5000
5 Fe 0.0014 0.5007 0.0818